Entry 1:
## CaBe (PBE)

Data for an optimized crystal structure of CaBe.

Cell: 5.7554 5.7554 5.7554 Å, 144.72 128.87 63.65°
Atoms (fractional coordinates):
Ca  0.3487  0.0987  0.2500
Ca  0.6513  0.9013  0.7500
Be  0.0672  0.3172  0.7500
Be  0.9328  0.6828  0.2500

Results
SG: Imma, No. 74
DFT formation energy: 0.340 eV/atom
VASP energy: -2.5239 eV per atom

Entry 2:
## Ca3Be (PBE)

Data for an optimized crystal structure of Ca3Be.

Cell: 5.0483 6.8388 7.2936 Å, 90.00 90.00 90.00°
Atoms (fractional coordinates):
Ca  0.2500  0.0053  0.1429
Ca  0.2500  0.2500  0.5713
Ca  0.2500  0.4947  0.1429
Ca  0.7500  0.5053  0.8571
Ca  0.7500  0.7500  0.4287
Ca  0.7500  0.9947  0.8571
Be  0.2500  0.7500  0.7512
Be  0.7500  0.2500  0.2488

Results
SG: Pmmn, No. 59
DFT formation energy: 0.358 eV/atom
VASP energy: -2.0748 eV per atom

Entry 3:
## Ca4Be5 (PBE)

Data for an optimized crystal structure of Ca4Be5.

Cell: 8.5597 8.5597 5.9642 Å, 90.00 90.00 120.00°
Atoms (fractional coordinates):
Ca  0.0000  0.0000  0.0000
Ca  0.0000  0.0000  0.5000
Ca  0.0000  0.3591  0.2500
Ca  0.0000  0.6409  0.7500
Ca  0.3591  0.0000  0.2500
Ca  0.3591  0.3591  0.7500
Ca  0.6409  0.0000  0.7500
Ca  0.6409  0.6409  0.2500
Be  0.0000  0.3190  0.7500
Be  0.0000  0.6810  0.2500
Be  0.3190  0.0000  0.7500
Be  0.3190  0.3190  0.2500
Be  0.3333  0.6667  0.0000
Be  0.3333  0.6667  0.5000
Be  0.6667  0.3333  0.0000
Be  0.6667  0.3333  0.5000
Be  0.6810  0.0000  0.2500
Be  0.6810  0.6810  0.7500

Results
SG: P6_3/mcm, No. 193
DFT formation energy: 0.662 eV/atom
VASP energy: -2.2976 eV per atom

Entry 4:
## CaBe (PBE)

Data for an optimized crystal structure of CaBe.

Cell: 7.5042 7.5042 7.5042 Å, 31.25 31.25 31.25°
Atoms (fractional coordinates):
Ca  0.0844  0.0844  0.0844
Ca  0.9156  0.9156  0.9156
Be  0.3333  0.3333  0.3333
Be  0.6667  0.6667  0.6667

Results
SG: R-3m, No. 166
DFT formation energy: 0.214 eV/atom
VASP energy: -2.6499 eV per atom

Entry 5:
## Ca3Be2 (PBE)

Data for an optimized crystal structure of Ca3Be2.

Cell: 4.9272 4.9272 6.2874 Å, 90.00 90.00 120.00°
Atoms (fractional coordinates):
Ca  0.0000  0.0000  0.0000
Ca  0.3333  0.6667  0.3331
Ca  0.6667  0.3333  0.6669
Be  0.3333  0.6667  0.8796
Be  0.6667  0.3333  0.1204

Results
SG: P-3m1, No. 164
DFT formation energy: 0.352 eV/atom
VASP energy: -2.3392 eV per atom

Entry 6:
## CaBe (PBE)

Data for an optimized crystal structure of CaBe.

Cell: 7.6921 7.6921 7.6921 Å, 93.82 93.82 150.07°
Atoms (fractional coordinates):
Ca  0.0000  0.2618  0.2618
Ca  0.0000  0.7382  0.7382
Ca  0.2618  0.0000  0.2618
Ca  0.7382  0.0000  0.7382
Be  0.2716  0.2716  0.5432
Be  0.2716  0.7284  0.0000
Be  0.7284  0.2716  0.0000
Be  0.7284  0.7284  0.4568

Results
SG: I4/mmm, No. 139
DFT formation energy: 0.320 eV/atom
VASP energy: -2.5444 eV per atom

- DFT formation energy of number 5 (Ca3Be2)?
  0.352 eV/atom